Entry 1:
KFePt2, optimized geometry, DFT GGA-PBE; E = -4.929 eV per atom; N(E_F) = 3.121 states/eV/f.u.; ΔE_f = 1.92 eV per formula unit; energy above the lowest structure with this stoichiometry = 0.478 eV per atom
1.0
5.156 0.000 0.000
0.000 5.156 0.000
0.000 0.000 2.748
K Fe Pt
1 1 2
direct
0.000 0.000 0.000
0.500 0.500 0.000
0.000 0.500 0.500
0.500 0.000 0.500

=====

Entry 2:
KPdW2Se8, optimized geometry, DFT GGA-PBE; E = -5.301 eV per atom; N(E_F) = 6.273 states/eV/f.u.; formation energy without anion corrections = -0.295 eV/atom
1.0
3.198 1.847 9.820
-3.198 1.847 9.820
0.000 -3.693 9.820
K Pd W Se
1 1 2 8
direct
0.000 0.000 0.000
0.500 0.500 0.500
0.244 0.244 0.244
0.756 0.756 0.756
0.130 0.430 0.783
0.217 0.870 0.570
0.323 0.323 0.323
0.430 0.783 0.130
0.570 0.217 0.870
0.677 0.677 0.677
0.783 0.130 0.430
0.870 0.570 0.217

=====

Entry 3:
NdNp2N4, optimized geometry, DFT GGA-PBE; E = -10.330 eV per atom; N(E_F) = 10.362 states/eV/f.u.; formation energy without anion corrections = -1.194 eV/atom
1.0
1.722 -5.682 0.000
1.722 5.682 0.000
0.000 0.000 10.613
Nd Np N
2 4 8
direct
0.108 0.892 0.750
0.892 0.108 0.250
0.368 0.632 0.569
0.368 0.632 0.931
0.632 0.368 0.069
0.632 0.368 0.431
0.000 0.000 0.000
0.000 0.000 0.500
0.270 0.730 0.104
0.270 0.730 0.396
0.456 0.544 0.750
0.544 0.456 0.250
0.730 0.270 0.604
0.730 0.270 0.896

=====

Entry 4:
Rb3Er2PuSe6, optimized geometry, DFT GGA-PBE; E = -5.558 eV per atom; N(E_F) = 12.890 states/eV/f.u.; formation energy without anion corrections = -1.619 eV/atom
1.0
3.687 -6.387 0.000
3.687 6.387 0.000
-2.459 0.000 7.973
Rb Er Pu Se
3 2 1 6
direct
0.000 0.000 0.000
0.334 0.666 0.000
0.666 0.334 0.000
0.167 0.833 0.500
0.833 0.167 0.500
0.500 0.500 0.500
0.096 0.435 0.306
0.225 0.225 0.694
0.435 0.096 0.306
0.565 0.904 0.694
0.775 0.775 0.306
0.904 0.565 0.694